Computed, not measured: NaLiTlRu2 at its PBEsol-relaxed geometry at the meta-GGA SCAN level of DFT.

Values from the calculation:
E_form = 0.99 eV/atom

abc: 4.2801 4.3223 4.3223
angles: 90.00 90.00 90.00
With the nearest neighbours (Å) after each atom.
Sites, in units of the cell vectors:
Tl 0.5000 0.5000 0.5000  8 Ru 3.04, 4 Na 3.06
Li 0.0000 0.0000 0.0000  2 Na 2.14, 4 Ru 2.16
Na 0.5000 0.0000 0.0000  2 Li 2.14
Ru 0.0000 0.5000 0.0000  2 Li 2.16
Ru 0.0000 0.0000 0.5000  2 Li 2.16

---

Computed, not measured: NaLiS2 at its PBEsol-relaxed geometry at the meta-GGA SCAN level of DFT.

Values from the calculation:
ΔE_f (raw) = -0.8626 eV per atom

abc: 4.7111 4.7111 8.3589
angles: 106.37 106.37 90.00
With the nearest neighbours (Å) after each atom.
Sites, in units of the cell vectors:
S 0.6250 0.4434 0.7500  2 Li 2.27, 2 S 2.44
Li 0.5000 0.5000 0.0000  4 S 2.27
S 0.6934 0.3750 0.2500  2 Li 2.27, 2 S 2.44
Li 0.7500 0.2500 0.5000  4 S 2.27
Na 0.0000 0.0000 0.0000  4 S 3.03, 4 Li 3.33
Na 0.2500 0.7500 0.5000  4 S 3.03, 4 Li 3.33
S 0.5566 0.8750 0.2500  2 Li 2.27, 2 S 2.44
S 0.1250 0.3066 0.7500  2 Li 2.27, 2 S 2.44

---

Computed, not measured: NaLiS2 at its PBEsol-relaxed geometry at the meta-GGA SCAN level of DFT.

Values from the calculation:
ΔE_f (raw) = -0.5923 eV per atom

abc: 4.5497 4.5497 4.5497
angles: 60.00 60.00 60.00
With the nearest neighbours (Å) after each atom.
Sites, in units of the cell vectors:
S 0.7500 0.7500 0.7500  4 Li 2.79, 4 Na 2.79
Li 0.0000 0.0000 0.0000  8 S 2.79
Na 0.5000 0.5000 0.5000  8 S 2.79
S 0.2500 0.2500 0.2500  4 Na 2.79, 4 Li 2.79

---

Computed, not measured: NaLiTcS2 at its PBEsol-relaxed geometry at the meta-GGA SCAN level of DFT.

Values from the calculation:
ΔE_f (raw) = 0.5454 eV per atom

abc: 3.6975 4.7634 4.7634
angles: 90.00 90.00 90.00
With the nearest neighbours (Å) after each atom.
Sites, in units of the cell vectors:
Li 0.5000 0.0000 0.0000  2 Na 1.85
S 0.0000 0.0000 0.5000  2 Na 2.38
Na 0.0000 0.0000 0.0000  2 Li 1.85
Tc 0.5000 0.5000 0.5000  8 S 3.02, 4 Li 3.37
S 0.0000 0.5000 0.0000  2 Na 2.38

---

Computed, not measured: NaLi3Se at its PBEsol-relaxed geometry at the meta-GGA SCAN level of DFT.

Values from the calculation:
ΔE_f (raw) = -0.6196 eV per atom

abc: 4.9621 4.9621 4.9621
angles: 90.00 90.00 90.00
With the nearest neighbours (Å) after each atom.
Sites, in units of the cell vectors:
Li 0.5000 0.0000 0.0000  2 Se 2.48
Li 0.0000 0.5000 0.0000  2 Se 2.48
Se 0.0000 0.0000 0.0000  6 Li 2.48
Li 0.0000 0.0000 0.5000  2 Se 2.48
Na 0.5000 0.5000 0.5000  12 Li 3.51

---

Computed, not measured: NaLiSe3 at its PBEsol-relaxed geometry at the meta-GGA SCAN level of DFT.

Values from the calculation:
ΔE_f (raw) = 0.2147 eV per atom

abc: 5.0955 5.0955 5.0955
angles: 90.00 90.00 90.00
With the nearest neighbours (Å) after each atom.
Sites, in units of the cell vectors:
Se 0.0000 0.0000 0.5000  2 Na 2.55
Li 0.5000 0.5000 0.5000  12 Se 3.60
Se 0.5000 0.0000 0.0000  2 Na 2.55
Se 0.0000 0.5000 0.0000  2 Na 2.55
Na 0.0000 0.0000 0.0000  6 Se 2.55

---

Computed, not measured: NaLi2Si2 at its PBEsol-relaxed geometry at the meta-GGA SCAN level of DFT.

Values from the calculation:
ΔE_f (raw) = -0.0685 eV per atom

abc: 2.9055 7.6285 7.6285
angles: 90.00 90.00 90.00
With the nearest neighbours (Å) after each atom.
Sites, in units of the cell vectors:
Si 0.0000 0.6085 0.1085  1 Si 2.34
Si 0.0000 0.8915 0.6085  1 Si 2.34
Na 0.0000 0.0000 0.0000  2 Na 2.91, 4 Si 3.10, 8 Li 3.14
Li 0.5000 0.1848 0.6848  6 Si 2.66-2.73, 2 Li 2.91
Li 0.5000 0.8152 0.3152  6 Si 2.66-2.73, 2 Li 2.91
Li 0.5000 0.6848 0.8152  6 Si 2.66-2.73, 2 Li 2.91
Li 0.5000 0.3152 0.1848  6 Si 2.66-2.73, 2 Li 2.91
Na 0.0000 0.5000 0.5000  2 Na 2.91, 4 Si 3.10, 8 Li 3.14
Si 0.0000 0.1085 0.3915  1 Si 2.34
Si 0.0000 0.3915 0.8915  1 Si 2.34

---

Computed, not measured: NaLi2TaSi at its PBEsol-relaxed geometry at the meta-GGA SCAN level of DFT.

Values from the calculation:
ΔE_f (raw) = 1.2617 eV per atom

abc: 4.6144 4.6144 5.0728
angles: 90.00 90.00 90.00
With the nearest neighbours (Å) after each atom.
Sites, in units of the cell vectors:
Si 0.0000 0.0000 0.0000  4 Li 2.31, 2 Na 2.54
Li 0.5000 0.0000 0.0000  2 Si 2.31
Na 0.0000 0.0000 0.5000  2 Si 2.54
Li 0.0000 0.5000 0.0000  2 Si 2.31
Ta 0.5000 0.5000 0.5000  4 Na 3.26, 8 Li 3.43

---

Computed, not measured: NaLiSn2 at its PBEsol-relaxed geometry at the meta-GGA SCAN level of DFT.

Values from the calculation:
E_form = -0.24 eV/atom

abc: 5.0241 5.0241 5.0241
angles: 60.00 60.00 60.00
With the nearest neighbours (Å) after each atom.
Sites, in units of the cell vectors:
Li 0.0000 0.0000 0.0000  8 Sn 3.08
Sn 0.2500 0.2500 0.2500  4 Li 3.08, 4 Na 3.08
Sn 0.7500 0.7500 0.7500  4 Na 3.08, 4 Li 3.08
Na 0.5000 0.5000 0.5000  8 Sn 3.08

---

Computed, not measured: NaLiSn3 at its PBEsol-relaxed geometry at the meta-GGA SCAN level of DFT.

Values from the calculation:
E_form = 0.02 eV/atom

abc: 5.0544 5.0544 5.0544
angles: 90.00 90.00 90.00
With the nearest neighbours (Å) after each atom.
Sites, in units of the cell vectors:
Li 0.0000 0.0000 0.0000  6 Sn 2.53
Sn 0.0000 0.0000 0.5000  2 Li 2.53
Sn 0.5000 0.0000 0.0000  2 Li 2.53
Na 0.5000 0.5000 0.5000  12 Sn 3.57
Sn 0.0000 0.5000 0.0000  2 Li 2.53

---

Computed, not measured: NaLi5Sn4 at its PBEsol-relaxed geometry at the meta-GGA SCAN level of DFT.

Values from the calculation:
E_form = -0.29 eV/atom

abc: 4.9247 4.9247 10.7488
angles: 76.76 76.76 60.00
With the nearest neighbours (Å) after each atom.
Sites, in units of the cell vectors:
Li 0.8615 0.8615 0.4155  1 Li 2.73, 4 Sn 2.82-3.00
Li 0.9492 0.9492 0.1523  4 Li 2.73-3.01, 3 Sn 3.05
Sn 0.7708 0.7708 0.6876  1 Sn 2.80, 4 Li 2.82-3.03
Li 0.1374 0.1374 0.5877  1 Li 2.62, 1 Sn 2.74, 3 Na 2.86
Li 0.0533 0.0533 0.8401  1 Li 2.62
Sn 0.6809 0.6809 0.9572  4 Sn 2.80-2.99, 4 Li 3.02-3.09
Na 0.4819 0.4819 0.5543  7 Li 2.86-3.19, 3 Sn 3.16
Sn 0.2256 0.2256 0.3232  7 Li 2.74-3.00, 1 Sn 2.88
Sn 0.3183 0.3183 0.0452  4 Sn 2.88-2.99, 3 Li 3.05
Li 0.5838 0.5838 0.2485  4 Sn 2.95-3.02, 3 Li 3.01, 1 Na 3.17

---

Computed, not measured: NaLi2Sn2 at its PBEsol-relaxed geometry at the meta-GGA SCAN level of DFT.

Values from the calculation:
E_form = -0.32 eV/atom

abc: 3.2937 8.2591 8.2591
angles: 90.00 90.00 90.00
With the nearest neighbours (Å) after each atom.
Sites, in units of the cell vectors:
Na 0.0000 0.0000 0.0000  4 Sn 3.27, 2 Na 3.29, 8 Li 3.47
Na 0.0000 0.5000 0.5000  4 Sn 3.27, 2 Na 3.29, 8 Li 3.47
Li 0.5000 0.8255 0.3255  6 Sn 2.88-2.99
Sn 0.0000 0.8769 0.6231  1 Sn 2.87, 6 Li 2.88-2.99
Li 0.5000 0.3255 0.1745  6 Sn 2.88-2.99
Sn 0.0000 0.1231 0.3769  1 Sn 2.87, 6 Li 2.88-2.99
Li 0.5000 0.6745 0.8255  6 Sn 2.88-2.99
Sn 0.0000 0.6231 0.1231  1 Sn 2.87, 6 Li 2.88-2.99
Li 0.5000 0.1745 0.6745  6 Sn 2.88-2.99
Sn 0.0000 0.3769 0.8769  1 Sn 2.87, 6 Li 2.88-2.99

---

Computed, not measured: NaSr2Li2 at its PBEsol-relaxed geometry at the meta-GGA SCAN level of DFT.

Values from the calculation:
E_form = 0.09 eV/atom

abc: 4.0612 4.0612 11.5128
angles: 100.16 100.16 90.00
With the nearest neighbours (Å) after each atom.
Sites, in units of the cell vectors:
Sr 0.6178 0.6178 0.2356  4 Li 3.58, 4 Na 3.89
Na 0.0000 0.0000 0.0000  8 Sr 3.89, 4 Na 4.06
Li 0.2500 0.7500 0.5000  4 Li 2.87
Li 0.7500 0.2500 0.5000  4 Li 2.87
Sr 0.3822 0.3822 0.7644  4 Li 3.58, 4 Na 3.89

---

no.,mass density (g/cm3)
1,9.06
2,1.84
3,2.35
4,3.80
5,1.67
6,3.35
7,1.83
8,3.78
9,4.95
10,4.96
11,4.06
12,4.05
13,1.92